1.
Zr3ZnIn2PdPt2 | PBE | relaxed

Cell lengths 3.5202, 7.5263, 7.5263 Å; angles 120.25, 90.00, 90.00 degrees
Fractional coordinates of all 9 atoms:
1 Pd 0.0000 0.9828 0.9828
2 In 0.5000 0.2677 0.0049
3 In 0.5000 0.0049 0.2677
4 Zr 0.0000 0.4171 0.4171
5 Zr 0.0000 0.9861 0.5998
6 Zr 0.0000 0.5998 0.9861
7 Pt 0.5000 0.6723 0.3414
8 Pt 0.5000 0.3414 0.6723
9 Zn 0.5000 0.7277 0.7277

Summary:
As for the calculated volume: 172 Å³ per cell. For the raw total energy, the calculation gives -6.28 eV per atom.

***

2.
Co2Ge | PBE | relaxed

Cell lengths 4.7420, 4.7420, 4.7420 Å; angles 60.00, 60.00, 60.00 degrees
Site moments in Bohr magnetons follow the coordinates.
Fractional coordinates of all 6 atoms:
1 Co 0.6250 0.6250 0.6250  0.97
2 Co 0.6250 0.1250 0.6250  1.02
3 Co 0.6250 0.6250 0.1250  1.01
4 Co 0.1250 0.6250 0.6250  1.03
5 Ge 0.2500 0.2500 0.2500  -0.03
6 Ge 0.0000 0.0000 0.0000  -0.03

Summary:
As for the calculated volume: 75 Å³ per cell. For the raw total energy, the calculation gives -6.04 eV per atom.

***

3.
PrSmPO | PBE | relaxed

Cell lengths 13.5184, 13.5184, 13.5184 Å; angles 17.24, 17.24, 17.24 degrees
Fractional coordinates of all 8 atoms:
1 O 0.6891 0.6891 0.6891
2 O 0.3109 0.3109 0.3109
3 Sm 0.7919 0.7919 0.7919
4 Sm 0.2081 0.2081 0.2081
5 Pr 0.6290 0.6290 0.6290
6 Pr 0.3710 0.3710 0.3710
7 P 0.9109 0.9109 0.9109
8 P 0.0891 0.0891 0.0891

Summary:
As for the calculated volume: 189 Å³ per cell. For the raw total energy, the calculation gives -6.98 eV per atom. The energy above the most stable polymorph in this dataset is 0 meV/atom.

***

4.
Na2HfSO2 | PBE | relaxed

Cell lengths 6.0637, 6.0637, 6.4595 Å; angles 100.03, 100.03, 122.34 degrees
Fractional coordinates of all 12 atoms:
1 Na 0.6886 0.3114 0.5000
2 Na 0.5000 0.5000 0.0000
3 Na 0.0000 0.0000 0.5000
4 Na 0.3114 0.6886 0.5000
5 Hf 0.8121 0.1879 0.0000
6 Hf 0.1879 0.8121 0.0000
7 O 0.5733 0.9577 0.1881
8 O 0.4267 0.0423 0.8119
9 O 0.9577 0.5733 0.1881
10 O 0.0423 0.4267 0.8119
11 S 0.2379 0.2379 0.2451
12 S 0.7621 0.7621 0.7549

Summary:
As for the calculated volume: 187 Å³ per cell. For the raw total energy, the calculation gives -6.63 eV per atom.

***

5.
Ag3Cl4 | PBE | relaxed

Cell lengths 8.1687, 8.1687, 8.1687 Å; angles 125.41, 124.47, 81.64 degrees
Fractional coordinates of all 14 atoms:
1 Cl 0.2306 0.7453 0.4853
2 Cl 0.7694 0.2547 0.5147
3 Cl 0.7550 0.2692 0.0142
4 Cl 0.2450 0.2592 0.5142
5 Cl 0.2400 0.2547 0.9853
6 Cl 0.7600 0.7453 0.0147
7 Cl 0.7550 0.7408 0.4858
8 Cl 0.2450 0.7308 0.9858
9 Ag 0.0000 0.5000 0.0000
10 Ag 0.5000 0.5000 0.0000
11 Ag 0.3767 0.1267 0.2500
12 Ag 0.0000 0.5000 0.5000
13 Ag 0.6233 0.8733 0.7500
14 Ag 0.0000 0.0000 0.5000

Summary:
As for the calculated volume: 352 Å³ per cell. For the raw total energy, the calculation gives -2.69 eV per atom.

***

6.
CuBIr2 | PBE | relaxed

Cell lengths 4.1529, 4.1529, 4.1529 Å; angles 60.00, 60.00, 60.00 degrees
Fractional coordinates of all 4 atoms:
1 B 0.5000 0.5000 0.5000
2 Ir 0.0000 0.0000 0.0000
3 Ir 0.7500 0.7500 0.7500
4 Cu 0.2500 0.2500 0.2500

Summary:
As for the calculated volume: 51 Å³ per cell. For the raw total energy, the calculation gives -6.26 eV per atom.

***

7.
DyEr2Zn3FeAu2 | PBE | relaxed

Cell lengths 3.9223, 7.2585, 7.2585 Å; angles 120.22, 90.00, 90.00 degrees
Site moments in Bohr magnetons follow the coordinates.
Fractional coordinates of all 9 atoms:
1 Au 0.5000 0.6695 0.3326  0.01
2 Au 0.5000 0.3326 0.6695  0.01
3 Fe 0.0000 0.9983 0.9983  1.95
4 Er 0.0000 0.6055 0.9999  0.05
5 Er 0.0000 0.9999 0.6055  0.03
6 Zn 0.5000 0.2298 0.9987  -0.01
7 Zn 0.5000 0.7697 0.7697  -0.01
8 Zn 0.5000 0.9987 0.2298  -0.01
9 Dy 0.0000 0.3959 0.3959  0.04

Summary:
As for the calculated volume: 179 Å³ per cell. For the raw total energy, the calculation gives -4.09 eV per atom.

***

8.
PrCu5Pd7 | PBE | relaxed

Cell lengths 6.7637, 6.7637, 6.7637 Å; angles 136.30, 98.69, 97.24 degrees
Fractional coordinates of all 13 atoms:
1 Pd 0.3438 0.9976 0.3462
2 Pd 0.7742 0.2742 0.5000
3 Pd 0.6497 0.6497 0.0000
4 Pd 0.6515 0.9976 0.6538
5 Pd 0.3460 0.3460 0.0000
6 Pd 0.7937 0.5031 0.2906
7 Pd 0.2125 0.5031 0.7094
8 Cu 0.4964 0.9993 0.9958
9 Cu 0.0035 0.5006 0.0042
10 Cu 0.4964 0.5006 0.4971
11 Cu 0.0035 0.9993 0.5029
12 Cu 0.2320 0.7320 0.5000
13 Pr 0.9966 0.9966 0.0000

Summary:
As for the calculated volume: 198 Å³ per cell. For the raw total energy, the calculation gives -4.91 eV per atom.

***

9.
TmLuAsO | PBE | relaxed

Cell lengths 4.0654, 7.5043, 5.7566 Å; angles 90.00, 90.00, 90.00 degrees
Fractional coordinates of all 8 atoms:
1 As 0.0000 0.8477 0.4268
2 As 0.0000 0.1523 0.9268
3 Lu 0.0000 0.2178 0.4392
4 Lu 0.0000 0.7822 0.9392
5 O 0.5000 0.3285 0.3813
6 O 0.5000 0.6715 0.8813
7 Tm 0.5000 0.3842 0.0066
8 Tm 0.5000 0.6158 0.5066

Summary:
As for the calculated volume: 176 Å³ per cell. For the raw total energy, the calculation gives -6.61 eV per atom. The energy above the most stable polymorph in this dataset is 15 meV/atom.

***

10.
ScGaCoNi | PBE | relaxed

Cell lengths 4.2949, 4.2949, 4.2949 Å; angles 60.00, 60.00, 60.00 degrees
Site moments in Bohr magnetons follow the coordinates.
Fractional coordinates of all 4 atoms:
1 Ni 0.5000 0.5000 0.5000  0.13
2 Co 0.7500 0.7500 0.7500  1.07
3 Ga 0.0000 0.0000 0.0000  -0.02
4 Sc 0.2500 0.2500 0.2500  0.01

Summary:
As for the calculated volume: 56 Å³ per cell. For the raw total energy, the calculation gives -5.75 eV per atom. The energy above the most stable polymorph in this dataset is 241 meV/atom.

***

11.
TlReHg3Se4 | PBE | relaxed

Cell lengths 7.4120, 7.4120, 7.4120 Å; angles 90.00, 90.00, 90.00 degrees
Fractional coordinates of all 9 atoms:
1 Hg 0.0000 0.5000 0.0000
2 Hg 0.5000 0.0000 0.0000
3 Hg 0.0000 0.0000 0.5000
4 Se 0.8199 0.8199 0.8199
5 Se 0.1801 0.8199 0.1801
6 Se 0.1801 0.1801 0.8199
7 Se 0.8199 0.1801 0.1801
8 Re 0.0000 0.0000 0.0000
9 Tl 0.5000 0.5000 0.5000

Summary:
As for the calculated volume: 407 Å³ per cell. For the raw total energy, the calculation gives -3.24 eV per atom.

***

12.
NpSiSn | PBE | relaxed

Cell lengths 4.8528, 4.8528, 4.8528 Å; angles 60.00, 60.00, 60.00 degrees
Site moments in Bohr magnetons follow the coordinates.
Fractional coordinates of all 3 atoms:
1 Np 0.0000 0.0000 0.0000  3.71
2 Si 0.2500 0.2500 0.2500  -0.01
3 Sn 0.7500 0.7500 0.7500  0.04

Summary:
As for the calculated volume: 81 Å³ per cell. For the raw total energy, the calculation gives -6.97 eV per atom. The energy above the most stable polymorph in this dataset is 278 meV/atom.